Entry 1:
Here is a relaxed structure of NdEuHo2 from Alexandria via LeMat-Bulk. Energies are from PBE.

a b c (Å): 3.6544 3.6544 10.2589
angles (deg): 90.00 90.00 90.00
Closest atoms and distances in Å follow each position.
Element x y z (fractional)
Nd 0.0000 0.0000 0.0000  8 Ho 3.55, 4 Nd 3.65
Eu 0.0000 0.0000 0.5000  4 Eu 3.65, 8 Ho 3.73
Ho 0.5000 0.5000 0.2378  4 Nd 3.55, 4 Ho 3.65, 4 Eu 3.73
Ho 0.5000 0.5000 0.7622  4 Nd 3.55, 4 Ho 3.65, 4 Eu 3.73

VASP energy ... -5.983 eV/atom
E above lowest polymorph ... 0 meV/atom
SG ... P4/mmm
Energy of formation from the pure elements ... 0.265 eV/f.u.

***

Entry 2:
Here is a relaxed structure of Al2InCl from Alexandria via LeMat-Bulk. Energies are from PBE.

a b c (Å): 3.0655 3.0655 9.5555
angles (deg): 90.00 90.00 90.00
Closest atoms and distances in Å follow each position.
Element x y z (fractional)
Al 0.0000 0.0000 0.0000  8 Al 2.92-3.07, 4 In 3.24
Al 0.5000 0.5000 0.2047  4 Cl 2.71, 4 Al 2.92
In 0.5000 0.5000 0.7473  4 In 3.07, 4 Al 3.24
Cl 0.0000 0.0000 0.3755  4 Al 2.71

VASP energy ... -3.110 eV/atom
E above lowest polymorph ... 120 meV/atom
Formation energy (no corrections) ... -0.37 eV/f.u.
SG ... P4mm

***

Entry 3:
Here is a relaxed structure of SrTcAs2Br from Alexandria via LeMat-Bulk. Energies are from PBE.

a b c (Å): 4.7919 4.7919 5.5914
angles (deg): 90.00 90.00 90.00
Closest atoms and distances in Å follow each position.
Element x y z (fractional)
Sr 0.0000 0.0000 0.0000  4 Br 3.39, 8 As 3.68
Tc 0.5000 0.5000 0.5000  4 As 2.40
As 0.0000 0.5000 0.5000  2 Tc 2.40
As 0.5000 0.0000 0.5000  2 Tc 2.40
Br 0.5000 0.5000 0.0000  2 Tc 2.80

VASP energy ... -4.996 eV/atom
E above lowest polymorph ... 0 meV/atom
Formation energy (no corrections) ... -1.96 eV/f.u.
SG ... P4/mmm

***

Entry 4:
Here is a relaxed structure of LiPm from Alexandria via LeMat-Bulk. Energies are from PBE.

a b c (Å): 3.8032 3.8032 3.8032
angles (deg): 90.00 90.00 90.00
Closest atoms and distances in Å follow each position.
Element x y z (fractional)
Li 0.0000 0.0000 0.0000  8 Pm 3.29
Pm 0.5000 0.5000 0.5000  8 Li 3.29

VASP energy ... -3.178 eV/atom
E above lowest polymorph ... 94 meV/atom
SG ... Pm-3m
Energy of formation from the pure elements ... 0.309 eV/f.u.

***

Entry 5:
Here is a relaxed structure of Ba7PSe5 from Alexandria via LeMat-Bulk. Energies are from PBE.

a b c (Å): 8.1060 8.1060 27.6126
angles (deg): 90.00 90.00 146.67
Closest atoms and distances in Å follow each position.
Element x y z (fractional)
Ba 0.0607 0.9393 0.7500  2 P 3.24, 2 Se 3.29
Ba 0.1371 0.8629 0.0367  6 Se 3.31-3.36
Ba 0.1371 0.8629 0.4633  6 Se 3.31-3.36
Ba 0.3112 0.6888 0.6806  3 Se 3.22-3.35, 2 P 3.43
Ba 0.3112 0.6888 0.8194  3 Se 3.22-3.35, 2 P 3.43
Ba 0.4132 0.5868 0.1077  5 Se 3.26-3.30
Ba 0.4132 0.5868 0.3923  5 Se 3.26-3.30
Ba 0.5868 0.4132 0.6077  5 Se 3.26-3.30
Ba 0.5868 0.4132 0.8923  5 Se 3.26-3.30
Ba 0.6888 0.3112 0.1806  3 Se 3.22-3.35, 2 P 3.43
Ba 0.6888 0.3112 0.3194  3 Se 3.22-3.35, 2 P 3.43
Ba 0.8629 0.1371 0.5367  6 Se 3.31-3.36
Ba 0.8629 0.1371 0.9633  6 Se 3.31-3.36
Ba 0.9393 0.0607 0.2500  2 P 3.24, 2 Se 3.29
P 0.2938 0.7062 0.2500  6 Ba 3.24-3.43
P 0.7062 0.2938 0.7500  6 Ba 3.24-3.43
Se 0.0459 0.9541 0.1471  6 Ba 3.29-3.36
Se 0.0459 0.9541 0.3529  6 Ba 3.29-3.36
Se 0.2254 0.7746 0.5743  6 Ba 3.22-3.36
Se 0.2254 0.7746 0.9257  6 Ba 3.22-3.36
Se 0.5000 0.5000 0.0000  6 Ba 3.26-3.31
Se 0.5000 0.5000 0.5000  6 Ba 3.26-3.31
Se 0.7746 0.2254 0.0743  6 Ba 3.22-3.36
Se 0.7746 0.2254 0.4257  6 Ba 3.22-3.36
Se 0.9541 0.0459 0.6471  6 Ba 3.29-3.36
Se 0.9541 0.0459 0.8529  6 Ba 3.29-3.36

VASP energy ... -4.522 eV/atom
Formation energy (no corrections) ... -22.49 eV/f.u.
SG ... Cmcm

***

Entry 6:
Here is a relaxed structure of LiLaYZn2 from Alexandria via LeMat-Bulk. Energies are from PBE.

a b c (Å): 5.3707 5.3707 5.0949
angles (deg): 90.00 90.00 90.00
Closest atoms and distances in Å follow each position.
Element x y z (fractional)
Li 0.0000 0.0000 0.0000  2 La 2.55
La 0.0000 0.0000 0.5000  2 Li 2.55, 4 Zn 2.69
Y 0.5000 0.5000 0.0000  8 Zn 3.70, 4 Li 3.80
Zn 0.0000 0.5000 0.5000  2 La 2.69
Zn 0.5000 0.0000 0.5000  2 La 2.69

VASP energy ... -2.454 eV/atom
SG ... P4/mmm
Energy of formation from the pure elements ... 3.584 eV/f.u.

***

Entry 7:
Here is a relaxed structure of BaReRh2 from Alexandria via LeMat-Bulk. Energies are from PBE.

a b c (Å): 4.7924 4.7924 4.7924
angles (deg): 60.00 60.00 60.00
Closest atoms and distances in Å follow each position.
Element x y z (fractional)
Ba 0.0000 0.0000 0.0000  8 Rh 2.93
Re 0.5000 0.5000 0.5000  8 Rh 2.93
Rh 0.2500 0.2500 0.2500  4 Re 2.93, 4 Ba 2.93
Rh 0.7500 0.7500 0.7500  4 Ba 2.93, 4 Re 2.93

VASP energy ... -6.347 eV/atom
E above lowest polymorph ... 751 meV/atom
SG ... Fm-3m
Energy of formation from the pure elements ... 3.687 eV/f.u.

***

Entry 8:
Here is a relaxed structure of CoRhSeN2 from Alexandria via LeMat-Bulk. Energies are from PBE.

a b c (Å): 3.7308 3.7308 5.6678
angles (deg): 90.00 90.00 90.00
Closest atoms and distances in Å follow each position.
Element x y z (fractional)
Co 0.0000 0.0000 0.0000  4 Se 2.64
Rh 0.5000 0.5000 0.5000  4 N 1.87
Se 0.5000 0.5000 0.0000  4 Co 2.64, 2 Rh 2.83
N 0.0000 0.5000 0.5000  2 Rh 1.87
N 0.5000 0.0000 0.5000  2 Rh 1.87

VASP energy ... -5.708 eV/atom
E above lowest polymorph ... 147 meV/atom
Formation energy (no corrections) ... 6.05 eV/f.u.
SG ... P4/mmm

***

no.,total magnetic moment (μB/cell)
1,7.7
2,0.0
3,0.0
4,0.0
5,1.1
6,0.0
7,1.8
8,2.5